! PbBrCl2 PBE optimized geometry; values from VASP
! Size of the total moment ... 0.0 Bohr magnetons per cell
! E ... -0.1080 Ha/atom
! Distance to the lowest polymorph of the same formula ... 11 meV per atom
! Raw formation energy ... -0.6708 eV/atom
&SYSTEM
  ibrav = 0, nat = 4, ntyp = 3
/
ATOMIC_SPECIES
Pb 207.20 Pb.upf
Br 79.90 Br.upf
Cl 35.45 Cl.upf
CELL_PARAMETERS angstrom
2.813 -6.509 0.000
2.813 6.509 0.000
0.000 0.000 4.069
ATOMIC_POSITIONS angstrom
Pb 0.000 0.000 0.000
Br 2.813 0.000 0.000
Cl 2.813 4.645 2.035
Cl 2.813 -4.645 2.035

! La6ErMg PBE optimized geometry; values from VASP
! Size of the total moment ... 0.0 Bohr magnetons per cell
! E ... -0.1645 Ha/atom
! E_form ... -0.0111 eV per atom
&SYSTEM
  ibrav = 0, nat = 8, ntyp = 3
/
ATOMIC_SPECIES
La 138.91 La.upf
Er 167.26 Er.upf
Mg 24.30 Mg.upf
CELL_PARAMETERS angstrom
5.163 0.000 0.000
0.000 5.163 0.000
0.000 0.000 10.333
ATOMIC_POSITIONS angstrom
La 0.000 0.000 0.000
La 0.000 0.000 5.166
La 0.000 2.581 2.573
La 0.000 2.581 7.760
La 2.581 0.000 2.573
La 2.581 0.000 7.760
Er 2.581 2.581 5.166
Mg 2.581 2.581 0.000

! NaCa3Rh PBE optimized geometry; values from VASP
! Size of the total moment ... 0.0 Bohr magnetons per cell
! E ... -0.1154 Ha/atom
! Distance to the lowest polymorph of the same formula ... 0 meV per atom
! E_form ... -0.2038 eV per atom
&SYSTEM
  ibrav = 0, nat = 5, ntyp = 3
/
ATOMIC_SPECIES
Na 22.99 Na.upf
Ca 40.08 Ca.upf
Rh 102.91 Rh.upf
CELL_PARAMETERS angstrom
5.588 0.000 0.000
0.000 5.588 0.000
0.000 0.000 5.588
ATOMIC_POSITIONS angstrom
Na 0.000 0.000 0.000
Ca 0.000 2.794 2.794
Ca 2.794 0.000 2.794
Ca 2.794 2.794 0.000
Rh 2.794 2.794 2.794

! LaTbDy3Y PBE optimized geometry; values from VASP
! Size of the total moment ... 0.0 Bohr magnetons per cell
! E ... -0.1752 Ha/atom
! E_form ... 0.2053 eV per atom
&SYSTEM
  ibrav = 0, nat = 12, ntyp = 4
/
ATOMIC_SPECIES
La 138.91 La.upf
Tb 158.93 Tb.upf
Dy 162.50 Dy.upf
Y 88.91 Y.upf
CELL_PARAMETERS angstrom
9.923 -2.841 0.000
9.923 2.841 0.000
-0.095 0.000 7.021
ATOMIC_POSITIONS angstrom
La 2.869 0.000 0.201
La 16.881 0.000 6.821
Tb 2.903 0.000 3.220
Tb 16.847 0.000 3.801
Dy 0.387 0.000 5.176
Dy 5.474 0.000 5.307
Dy 6.680 0.000 1.908
Dy 13.070 0.000 5.114
Dy 14.277 0.000 1.714
Dy 19.364 0.000 1.846
Y 8.804 0.000 5.146
Y 10.947 0.000 1.876

! Ho3CdIn PBE optimized geometry; values from VASP
! Size of the total moment ... 0.0 Bohr magnetons per cell
! E ... -0.1287 Ha/atom
! Distance to the lowest polymorph of the same formula ... 283 meV per atom
! E_form ... -0.0255 eV per atom
&SYSTEM
  ibrav = 0, nat = 10, ntyp = 3
/
ATOMIC_SPECIES
Ho 164.93 Ho.upf
Cd 112.41 Cd.upf
In 114.82 In.upf
CELL_PARAMETERS angstrom
8.137 0.000 0.000
-4.068 7.047 0.000
0.000 0.000 5.256
ATOMIC_POSITIONS angstrom
Ho 0.000 2.758 1.314
Ho -1.680 5.668 1.314
Ho 2.389 1.379 3.942
Ho 1.680 5.668 1.314
Ho 5.748 1.379 3.942
Ho 4.068 4.289 3.942
Cd 0.000 0.000 0.000
Cd 0.000 0.000 2.628
In 0.000 4.698 3.942
In 4.068 2.349 1.314

! Ti5Sn2 PBE optimized geometry; values from VASP
! Size of the total moment ... 0.6 Bohr magnetons per cell
! E ... -0.2598 Ha/atom
! E_form ... -0.2860 eV per atom
&SYSTEM
  ibrav = 0, nat = 7, ntyp = 2
/
ATOMIC_SPECIES
Ti 47.87 Ti.upf
Sn 118.71 Sn.upf
CELL_PARAMETERS angstrom
4.883 -1.890 0.000
4.883 1.890 0.000
-0.737 0.000 6.910
ATOMIC_POSITIONS angstrom
Ti 0.000 0.000 0.000
Ti 1.104 0.000 2.925
Ti 2.213 0.000 5.973
Ti 6.815 0.000 0.938
Ti 7.925 0.000 3.985
Sn 3.911 0.000 1.919
Sn 5.117 0.000 4.991

! Pa4Cu5Ge6 PBE optimized geometry; values from VASP
! Size of the total moment ... 0.8 Bohr magnetons per cell
! E ... -0.2226 Ha/atom
! E_form ... -0.3139 eV per atom
&SYSTEM
  ibrav = 0, nat = 30, ntyp = 3
/
ATOMIC_SPECIES
Pa 231.04 Pa.upf
Cu 63.55 Cu.upf
Ge 72.64 Ge.upf
CELL_PARAMETERS angstrom
2.105 -9.147 0.000
2.105 9.147 0.000
0.000 0.000 14.898
ATOMIC_POSITIONS angstrom
Pa 2.105 8.683 7.449
Pa 2.105 8.505 11.382
Pa 2.105 6.067 4.484
Pa 2.105 5.892 14.152
Pa 2.105 -5.892 6.704
Pa 2.105 -6.067 11.933
Pa 2.105 -8.505 3.934
Pa 2.105 -8.683 0.000
Cu 2.105 6.328 9.358
Cu 2.105 3.604 9.321
Cu 2.105 2.832 4.152
Cu 2.105 2.715 14.600
Cu 2.105 1.102 10.167
Cu 2.105 -1.102 2.718
Cu 2.105 -2.715 7.151
Cu 2.105 -2.832 11.601
Cu 2.105 -3.604 1.872
Cu 2.105 -6.328 1.909
Ge 2.105 7.198 1.797
Ge 2.105 5.162 7.265
Ge 2.105 5.041 11.400
Ge 2.105 1.381 1.951
Ge 2.105 1.295 6.140
Ge 2.105 1.142 12.707
Ge 2.105 -1.142 5.258
Ge 2.105 -1.295 13.589
Ge 2.105 -1.381 9.400
Ge 2.105 -5.041 3.951
Ge 2.105 -5.162 14.713
Ge 2.105 -7.198 9.246

! Be2AlCu PBE optimized geometry; values from VASP
! Size of the total moment ... 0.0 Bohr magnetons per cell
! E ... -0.1386 Ha/atom
! E_form ... 0.0515 eV per atom
&SYSTEM
  ibrav = 0, nat = 4, ntyp = 3
/
ATOMIC_SPECIES
Be 9.01 Be.upf
Al 26.98 Al.upf
Cu 63.55 Cu.upf
CELL_PARAMETERS angstrom
4.441 -1.318 0.000
4.441 1.318 0.000
-1.995 0.000 3.744
ATOMIC_POSITIONS angstrom
Be 0.000 0.000 0.000
Be 5.788 0.000 1.435
Al 0.404 0.000 3.271
Cu 3.313 0.000 1.795

! BaY2Pt PBE optimized geometry; values from VASP
! Size of the total moment ... 0.2 Bohr magnetons per cell
! E ... -0.2041 Ha/atom
! Distance to the lowest polymorph of the same formula ... 206 meV per atom
! E_form ... -0.3312 eV per atom
&SYSTEM
  ibrav = 0, nat = 8, ntyp = 3
/
ATOMIC_SPECIES
Ba 137.33 Ba.upf
Y 88.91 Y.upf
Pt 195.08 Pt.upf
CELL_PARAMETERS angstrom
-4.485 4.485 3.429
4.485 -4.485 3.429
4.485 4.485 -3.429
ATOMIC_POSITIONS angstrom
Ba 0.000 0.000 0.000
Ba 0.000 4.485 1.715
Y 2.242 -1.419 2.572
Y 3.066 2.242 0.857
Y 2.242 5.904 -0.857
Y 1.419 2.242 4.286
Pt 4.485 0.000 1.715
Pt 0.000 0.000 3.429

! AlCdW2 PBE optimized geometry; values from VASP
! Size of the total moment ... 0.0 Bohr magnetons per cell
! E ... -0.2424 Ha/atom
! Distance to the lowest polymorph of the same formula ... 794 meV per atom
! E_form ... 1.0442 eV per atom
&SYSTEM
  ibrav = 0, nat = 8, ntyp = 3
/
ATOMIC_SPECIES
Al 26.98 Al.upf
Cd 112.41 Cd.upf
W 183.84 W.upf
CELL_PARAMETERS angstrom
-3.665 3.665 2.693
3.665 -3.665 2.693
3.665 3.665 -2.693
ATOMIC_POSITIONS angstrom
Al 0.000 0.000 0.000
Al 0.000 3.665 1.346
Cd 3.665 0.000 1.346
Cd 0.000 0.000 2.693
W 5.498 1.669 -0.673
W 1.669 1.833 0.673
W -1.833 1.996 2.020
W 1.996 1.833 3.366

! KZrSb2 PBE optimized geometry; values from VASP
! Size of the total moment ... 0.0 Bohr magnetons per cell
! E ... -0.1517 Ha/atom
! Distance to the lowest polymorph of the same formula ... 841 meV per atom
! Raw formation energy ... 0.3445 eV/atom
&SYSTEM
  ibrav = 0, nat = 4, ntyp = 3
/
ATOMIC_SPECIES
K 39.10 K.upf
Zr 91.22 Zr.upf
Sb 121.76 Sb.upf
CELL_PARAMETERS angstrom
0.000 3.775 3.775
3.775 0.000 3.775
3.775 3.775 0.000
ATOMIC_POSITIONS angstrom
K 0.000 0.000 0.000
Zr 1.888 1.888 1.888
Sb 3.775 3.775 3.775
Sb 5.663 5.663 5.663

! BaCdSi2 PBE optimized geometry; values from VASP
! Size of the total moment ... 0.0 Bohr magnetons per cell
! E ... -0.1251 Ha/atom
! Raw formation energy ... 0.0162 eV/atom
&SYSTEM
  ibrav = 0, nat = 4, ntyp = 3
/
ATOMIC_SPECIES
Ba 137.33 Ba.upf
Cd 112.41 Cd.upf
Si 28.09 Si.upf
CELL_PARAMETERS angstrom
-2.367 3.352 3.701
2.367 -3.352 3.701
2.367 3.352 -3.701
ATOMIC_POSITIONS angstrom
Ba 0.000 0.000 0.000
Cd 0.000 0.000 3.701
Si 2.367 0.000 2.502
Si 0.000 3.352 1.199

! K2BaNaAu PBE optimized geometry; values from VASP
! Size of the total moment ... 0.0 Bohr magnetons per cell
! E ... -0.0692 Ha/atom
! E_form ... -0.1391 eV per atom
&SYSTEM
  ibrav = 0, nat = 5, ntyp = 4
/
ATOMIC_SPECIES
K 39.10 K.upf
Ba 137.33 Ba.upf
Na 22.99 Na.upf
Au 196.97 Au.upf
CELL_PARAMETERS angstrom
6.474 0.000 0.000
0.000 6.474 0.000
0.000 0.000 6.421
ATOMIC_POSITIONS angstrom
K 0.000 3.237 0.000
K 3.237 0.000 0.000
Ba 0.000 0.000 3.211
Na 3.237 3.237 3.211
Au 0.000 0.000 0.000

! K3IO3 PBE optimized geometry; values from VASP
! Size of the total moment ... 0.0 Bohr magnetons per cell
! E ... -0.1422 Ha/atom
! Raw formation energy ... -1.0519 eV/atom
&SYSTEM
  ibrav = 0, nat = 14, ntyp = 3
/
ATOMIC_SPECIES
K 39.10 K.upf
I 126.90 I.upf
O 16.00 O.upf
CELL_PARAMETERS angstrom
4.238 -7.332 0.000
4.238 7.332 0.000
0.000 0.000 5.504
ATOMIC_POSITIONS angstrom
K 4.238 4.798 4.128
K 2.205 1.268 4.128
K 2.205 -1.268 1.376
K 6.271 1.268 4.128
K 6.271 -1.268 1.376
K 4.238 -4.798 1.376
I 4.238 2.447 1.376
I 4.238 -2.447 4.128
O 4.238 4.504 1.376
O 2.459 1.416 1.376
O 2.459 -1.416 4.128
O 6.016 1.416 1.376
O 6.016 -1.416 4.128
O 4.238 -4.504 4.128

! LaAuF2 PBE optimized geometry; values from VASP
! Size of the total moment ... 0.0 Bohr magnetons per cell
! E ... -0.1971 Ha/atom
! Distance to the lowest polymorph of the same formula ... 149 meV per atom
! Raw formation energy ... -2.3752 eV/atom
&SYSTEM
  ibrav = 0, nat = 4, ntyp = 3
/
ATOMIC_SPECIES
La 138.91 La.upf
Au 196.97 Au.upf
F 19.00 F.upf
CELL_PARAMETERS angstrom
0.000 3.236 3.236
3.236 0.000 3.236
3.236 3.236 0.000
ATOMIC_POSITIONS angstrom
La 0.000 0.000 0.000
Au 3.236 3.236 3.236
F 1.618 1.618 1.618
F 4.854 4.854 4.854

! Eu2HoBi PBE optimized geometry; values from VASP
! Size of the total moment ... 15.4 Bohr magnetons per cell
! E ... -0.2803 Ha/atom
! E_form ... -0.3752 eV per atom
&SYSTEM
  ibrav = 0, nat = 4, ntyp = 3
/
ATOMIC_SPECIES
Eu 151.96 Eu.upf
Ho 164.93 Ho.upf
Bi 208.98 Bi.upf
CELL_PARAMETERS angstrom
4.972 0.000 0.000
0.000 4.972 0.000
0.000 0.000 5.164
ATOMIC_POSITIONS angstrom
Eu 0.000 2.486 0.000
Eu 2.486 0.000 0.000
Ho 0.000 0.000 2.582
Bi 2.486 2.486 2.582

! Ba3Na2P PBE optimized geometry; values from VASP
! Size of the total moment ... 0.0 Bohr magnetons per cell
! E ... -0.0968 Ha/atom
! E_form ... -0.3325 eV per atom
&SYSTEM
  ibrav = 0, nat = 12, ntyp = 3
/
ATOMIC_SPECIES
Ba 137.33 Ba.upf
Na 22.99 Na.upf
P 30.97 P.upf
CELL_PARAMETERS angstrom
6.216 -5.139 0.000
6.216 5.139 0.000
0.000 0.000 9.118
ATOMIC_POSITIONS angstrom
Ba 6.216 3.169 6.839
Ba 4.030 0.000 0.000
Ba 4.030 0.000 4.559
Ba 8.403 0.000 0.000
Ba 8.403 0.000 4.559
Ba 6.216 -3.169 2.280
Na 4.659 2.906 2.280
Na 7.774 2.906 2.280
Na 4.659 -2.906 6.839
Na 7.774 -2.906 6.839
P 6.216 0.002 2.280
P 6.216 -0.002 6.839

! YRuC2 PBE optimized geometry; values from VASP
! Size of the total moment ... 0.3 Bohr magnetons per cell
! E ... -0.3214 Ha/atom
! E_form ... -0.1991 eV per atom
&SYSTEM
  ibrav = 0, nat = 8, ntyp = 3
/
ATOMIC_SPECIES
Y 88.91 Y.upf
Ru 101.07 Ru.upf
C 12.01 C.upf
CELL_PARAMETERS angstrom
2.182 -4.595 0.000
2.182 4.595 0.000
0.000 0.000 5.261
ATOMIC_POSITIONS angstrom
Y 2.182 2.898 3.945
Y 2.182 -2.898 1.315
Ru 2.182 0.000 0.000
Ru 2.182 0.000 2.630
C 0.689 0.769 3.945
C 0.689 -0.769 1.315
C 3.675 0.769 3.945
C 3.675 -0.769 1.315

! Li3PtSe PBE optimized geometry; values from VASP
! Size of the total moment ... 0.3 Bohr magnetons per cell
! E ... -0.1199 Ha/atom
! Distance to the lowest polymorph of the same formula ... 61 meV per atom
! Raw formation energy ... -0.2106 eV/atom
&SYSTEM
  ibrav = 0, nat = 5, ntyp = 3
/
ATOMIC_SPECIES
Li 6.94 Li.upf
Pt 195.08 Pt.upf
Se 78.96 Se.upf
CELL_PARAMETERS angstrom
4.671 0.000 0.000
0.000 4.671 0.000
0.000 0.000 4.671
ATOMIC_POSITIONS angstrom
Li 0.000 0.000 2.335
Li 0.000 2.335 0.000
Li 2.335 0.000 0.000
Pt 0.000 0.000 0.000
Se 2.335 2.335 2.335

! CsNdTcN3 PBE optimized geometry; values from VASP
! Size of the total moment ... 0.0 Bohr magnetons per cell
! E ... -0.2645 Ha/atom
! Raw formation energy ... -0.3700 eV/atom
&SYSTEM
  ibrav = 0, nat = 12, ntyp = 4
/
ATOMIC_SPECIES
Cs 132.91 Cs.upf
Nd 144.24 Nd.upf
Tc 98.00 Tc.upf
N 14.01 N.upf
CELL_PARAMETERS angstrom
6.949 -1.973 0.000
6.949 1.973 0.000
-2.090 0.000 8.350
ATOMIC_POSITIONS angstrom
Cs 1.795 0.000 0.613
Cs 10.013 0.000 7.738
Nd 1.028 0.000 4.800
Nd 10.780 0.000 3.550
Tc 5.500 0.000 5.464
Tc 6.308 0.000 2.886
N -0.543 0.000 2.887
N 3.478 0.000 5.117
N 4.729 0.000 1.935
N 7.079 0.000 6.416
N 8.330 0.000 3.233
N 12.352 0.000 5.463